! CsMgTc2O8 PBE-GGA relaxed; values from VASP
! Raw formation energy in meV per atom: -1754
! Total energy in eV/atom: -6.9910
&SYSTEM
  ibrav = 0, nat = 12, ntyp = 4
/
ATOMIC_SPECIES
Cs 132.91 Cs.upf
Mg 24.30 Mg.upf
Tc 98.00 Tc.upf
O 16.00 O.upf
ATOMIC_POSITIONS crystal
Cs 0.000 0.000 0.000
Mg 0.000 0.000 0.500
Tc 0.361 0.361 0.701
Tc 0.639 0.639 0.299
O 0.206 0.206 0.582
O 0.211 0.709 0.665
O 0.291 0.789 0.335
O 0.322 0.322 0.896
O 0.678 0.678 0.104
O 0.709 0.211 0.665
O 0.789 0.291 0.335
O 0.794 0.794 0.418
CELL_PARAMETERS angstrom
4.813 -2.912 0.000
4.813 2.912 0.000
-0.543 0.000 8.626